1.
The following is a DFT calculation (PBE-GGA) of a geometry-optimized NaInS2 structure.

**M_tot**: 0.00 Bohr magnetons per cell
**Energy relative to the elements, uncorrected**: -836 meV/atom

Structure (POSCAR):
```
NaInS2
1.0
6.001 -5.007 0.000
6.001 5.007 0.000
-2.423 0.000 13.749
Na In S
8 8 16
direct
0.113 0.668 0.621
0.309 0.378 0.883
0.332 0.887 0.879
0.378 0.309 0.383
0.622 0.691 0.617
0.668 0.113 0.121
0.691 0.622 0.117
0.887 0.332 0.379
0.038 0.763 0.349
0.237 0.962 0.151
0.271 0.459 0.141
0.459 0.271 0.641
0.541 0.729 0.359
0.729 0.541 0.859
0.763 0.038 0.849
0.962 0.237 0.651
0.014 0.986 0.750
0.020 0.491 0.234
0.172 0.280 0.539
0.280 0.172 0.039
0.289 0.687 0.038
0.313 0.711 0.462
0.442 0.558 0.750
0.491 0.020 0.734
0.509 0.980 0.266
0.558 0.442 0.250
0.687 0.289 0.538
0.711 0.313 0.962
0.720 0.828 0.961
0.828 0.720 0.461
0.980 0.509 0.766
0.986 0.014 0.250
```


2.
The following is a DFT calculation (PBE-GGA) of a geometry-optimized AcSmDySn structure.

**M_tot**: 0.00 Bohr magnetons per cell
**Formation enthalpy at 0 K**: -183 meV per atom

Structure (POSCAR):
```
AcSmDySn
1.0
7.905 0.000 0.000
0.000 7.905 0.000
0.000 0.000 7.905
Ac Sm Dy Sn
4 4 4 4
direct
0.000 0.000 0.000
0.000 0.500 0.500
0.500 0.000 0.500
0.500 0.500 0.000
0.250 0.250 0.750
0.250 0.750 0.250
0.750 0.250 0.250
0.750 0.750 0.750
0.250 0.250 0.250
0.250 0.750 0.750
0.750 0.250 0.750
0.750 0.750 0.250
0.000 0.000 0.500
0.000 0.500 0.000
0.500 0.000 0.000
0.500 0.500 0.500
```


3.
The following is a DFT calculation (PBE-GGA) of a geometry-optimized LiBeAg3 structure.

**M_tot**: 0.00 Bohr magnetons per cell
**Formation enthalpy at 0 K**: 729 meV per atom
**Distance to the lowest polymorph of the same formula**: 552 meV per atom

Structure (POSCAR):
```
LiBeAg3
1.0
4.420 0.000 0.000
0.000 4.420 0.000
0.000 0.000 4.420
Li Be Ag
1 1 3
direct
0.000 0.000 0.000
0.500 0.500 0.500
0.000 0.000 0.500
0.000 0.500 0.000
0.500 0.000 0.000
```


4.
The following is a DFT calculation (PBE-GGA) of a geometry-optimized ZnPdRh structure.

**M_tot**: 0.00 Bohr magnetons per cell
**Formation enthalpy at 0 K**: -263 meV per atom
**Distance to the lowest polymorph of the same formula**: 0 meV per atom

Structure (POSCAR):
```
ZnPdRh
1.0
8.378 0.000 0.000
0.000 3.941 0.000
-1.382 0.000 5.267
Zn Pd Rh
4 4 4
direct
0.000 0.000 0.000
0.178 0.500 0.350
0.500 0.500 0.000
0.678 0.000 0.350
0.012 0.000 0.500
0.330 0.000 0.180
0.512 0.500 0.500
0.830 0.500 0.180
0.171 0.500 0.836
0.348 0.000 0.692
0.671 0.000 0.836
0.848 0.500 0.692
```


5.
The following is a DFT calculation (PBE-GGA) of a geometry-optimized Pr2Sm2Tm15 structure.

**M_tot**: 0.00 Bohr magnetons per cell
**Formation enthalpy at 0 K**: 281 meV per atom

Structure (POSCAR):
```
Pr2Sm2Tm15
1.0
5.601 3.234 5.752
-5.601 3.234 5.752
0.000 -6.467 5.752
Pr Sm Tm
2 2 15
direct
0.120 0.120 0.120
0.880 0.880 0.880
0.336 0.336 0.336
0.664 0.664 0.664
0.000 0.000 0.500
0.000 0.306 0.694
0.000 0.500 0.000
0.000 0.694 0.306
0.154 0.637 0.637
0.306 0.000 0.694
0.306 0.694 0.000
0.363 0.363 0.846
0.363 0.846 0.363
0.500 0.000 0.000
0.637 0.154 0.637
0.637 0.637 0.154
0.694 0.000 0.306
0.694 0.306 0.000
0.846 0.363 0.363
```


6.
The following is a DFT calculation (PBE-GGA) of a geometry-optimized HgAsIN2 structure.

**M_tot**: 3.81 Bohr magnetons per cell
**Energy relative to the elements, uncorrected**: 1957 meV/atom
**Distance to the lowest polymorph of the same formula**: 630 meV per atom

Structure (POSCAR):
```
HgAsIN2
1.0
4.240 0.000 0.000
0.000 4.240 0.000
0.000 0.000 7.817
Hg As I N
1 1 1 2
direct
0.000 0.000 0.000
0.500 0.500 0.500
0.000 0.000 0.500
0.000 0.500 0.000
0.500 0.000 0.000
```


7.
The following is a DFT calculation (PBE-GGA) of a geometry-optimized Ti2AgSb structure.

**M_tot**: 0.00 Bohr magnetons per cell
**Energy relative to the elements, uncorrected**: -199 meV/atom

Structure (POSCAR):
```
Ti2AgSb
1.0
4.187 0.000 0.000
0.000 4.187 0.000
0.000 0.000 4.144
Ti Ag Sb
2 1 1
direct
0.000 0.500 0.000
0.500 0.000 0.000
0.000 0.000 0.500
0.500 0.500 0.500
```


8.
The following is a DFT calculation (PBE-GGA) of a geometry-optimized Be3NbZn structure.

**M_tot**: 0.00 Bohr magnetons per cell
**Formation enthalpy at 0 K**: 636 meV per atom
**Distance to the lowest polymorph of the same formula**: 0 meV per atom

Structure (POSCAR):
```
Be3NbZn
1.0
3.983 0.000 0.000
0.000 3.983 0.000
0.000 0.000 3.983
Be Nb Zn
3 1 1
direct
0.000 0.000 0.500
0.000 0.500 0.000
0.500 0.000 0.000
0.500 0.500 0.500
0.000 0.000 0.000
```